This record from Alexandria via LeMat-Bulk describes a relaxed CrAgBiF6 crystal. The functional is PBE+U.

CIF file:
```
data_CrAgBiF6
_cell_length_a 6.0281
_cell_length_b 6.0281
_cell_length_c 9.4772
_cell_angle_alpha 90.00
_cell_angle_beta 90.00
_cell_angle_gamma 120.00
_symmetry_space_group_name_H-M 'P -3 1 c'
_symmetry_Int_Tables_number 163
_symmetry_space_group_name_Hall '-P 3 2c'
loop_
_atom_site_label
_atom_site_type_symbol
_atom_site_fract_x
_atom_site_fract_y
_atom_site_fract_z
_atom_site_occupancy
Cr1 Cr 0.3333 0.6667 0.2500 1
Ag1 Ag 0.0000 0.0000 0.0000 1
Bi1 Bi 0.3333 0.6667 0.7500 1
F1 F 0.0302 0.3780 0.1379 1
```

**Raw total energy**: -4.880 eV/atom
**Total moment**: 4.00 μB per formula unit